1.
# SmTlAg PBE relaxed
# - Total magnetic moment: 0.04 μB per formula unit
# - DFT total energy: -3.61 eV per atom
# - Space group: No. 187
data_SmTlAg
_cell_length_a 3.471
_cell_length_b 5.000
_cell_length_c 5.000
_cell_angle_alpha 120.00
_cell_angle_beta 90.00
_cell_angle_gamma 90.00
_space_group_name_H-M_alt 'P 1'
_space_group_IT_number 1
loop_
_space_group_symop_operation_xyz
'x,y,z'
loop_
_atom_site_label
_atom_site_type_symbol
_atom_site_fract_x
_atom_site_fract_y
_atom_site_fract_z
Sm1 Sm 0.667 0.667 0.333
Ag1 Ag 0.167 0.333 0.667
Tl1 Tl 0.166 0.000 0.000

2.
# ScAlTc2 PBE relaxed
# - Total magnetic moment: 0.00 μB per formula unit
# - Energy above the most stable polymorph in this dataset: 295.0 meV/atom
# - DFT total energy: -7.71 eV per atom
# - Space group: No. 160
data_ScAlTc2
_cell_length_a 9.247
_cell_length_b 9.247
_cell_length_c 9.247
_cell_angle_alpha 18.04
_cell_angle_beta 18.04
_cell_angle_gamma 18.04
_space_group_name_H-M_alt 'P 1'
_space_group_IT_number 1
loop_
_space_group_symop_operation_xyz
'x,y,z'
loop_
_atom_site_label
_atom_site_type_symbol
_atom_site_fract_x
_atom_site_fract_y
_atom_site_fract_z
Al1 Al 0.508 0.508 0.508
Tc1 Tc 0.994 0.994 0.994
Tc2 Tc 0.252 0.252 0.252
Sc1 Sc 0.747 0.747 0.747

3.
# ScGaBi2 PBE relaxed
# - Total magnetic moment: 0.00 μB per formula unit
# - DFT total energy: -4.18 eV per atom
# - Space group: No. 166
data_ScGaBi2
_cell_length_a 4.675
_cell_length_b 4.675
_cell_length_c 8.585
_cell_angle_alpha 74.20
_cell_angle_beta 74.20
_cell_angle_gamma 60.00
_space_group_name_H-M_alt 'P 1'
_space_group_IT_number 1
loop_
_space_group_symop_operation_xyz
'x,y,z'
loop_
_atom_site_label
_atom_site_type_symbol
_atom_site_fract_x
_atom_site_fract_y
_atom_site_fract_z
Sc1 Sc 0.500 0.500 0.500
Ga1 Ga 0.000 0.000 0.000
Bi1 Bi 0.891 0.891 0.328
Bi2 Bi 0.109 0.109 0.672

4.
# Tb2Cd2Hg3 PBE relaxed
# - Total magnetic moment: 0.00 μB per formula unit
# - DFT total energy: -1.98 eV per atom
# - Space group: No. 12
data_Tb2Cd2Hg3
_cell_length_a 5.034
_cell_length_b 5.034
_cell_length_c 8.770
_cell_angle_alpha 90.11
_cell_angle_beta 106.66
_cell_angle_gamma 120.00
_space_group_name_H-M_alt 'P 1'
_space_group_IT_number 1
loop_
_space_group_symop_operation_xyz
'x,y,z'
loop_
_atom_site_label
_atom_site_type_symbol
_atom_site_fract_x
_atom_site_fract_y
_atom_site_fract_z
Hg1 Hg 0.497 0.248 0.746
Hg2 Hg 0.503 0.752 0.254
Hg3 Hg 0.000 0.000 0.000
Cd1 Cd 0.735 0.867 0.603
Cd2 Cd 0.265 0.133 0.397
Tb1 Tb 0.773 0.387 0.159
Tb2 Tb 0.227 0.613 0.841

Record order is preserved below.
DOS at the Fermi energy: 2.1; 4.5; 1.6; 4.1 states/eV per cell
Record order is preserved below.
Formation enthalpy at 0 K: -0.301; -0.012; 0.095; -0.271 eV per atom
Record order is preserved below.
Ρ: 10.2; 6.7; 5.7; 10.5 g/cm³